(1)
AcAg2BiO4 | PBE | optimized geometry

Lattice parameters (Å, degrees): 6.247 5.764 5.764 74.58 57.19 57.19
Element x y z (fractional)
1 O 0.042 0.888 0.426
2 O 0.644 0.426 0.888
3 O 0.356 0.112 0.574
4 O 0.958 0.574 0.112
5 Ag 0.500 0.722 0.278
6 Ag 0.500 0.278 0.722
7 Bi 0.000 0.500 0.500
8 Ac 0.000 0.000 0.000

Output
Crystal system = orthorhombic
Calculated total energy = -43.65 eV for the cell shown
Formation energy (no corrections) = -1.27 eV per atom


(2)
LaNd2SmEr | PBE | optimized geometry

Lattice parameters (Å, degrees): 6.559 8.583 6.338 96.12 90.00 90.00
Element x y z (fractional)
1 Nd 0.311 0.313 0.215
2 Nd 0.689 0.313 0.715
3 Nd 0.689 0.687 0.785
4 Nd 0.311 0.687 0.285
5 Sm 0.561 0.000 0.250
6 Sm 0.439 0.000 0.750
7 Er 0.166 0.500 0.750
8 Er 0.834 0.500 0.250
9 La 0.000 0.000 0.500
10 La 0.000 0.000 0.000

Output
E_form = 26 kJ per mole of atoms
Crystal system = monoclinic
Calculated total energy = -44.81 eV for the cell shown


(3)
Te2I2O | PBE | optimized geometry

Lattice parameters (Å, degrees): 5.948 7.413 8.737 106.48 90.00 113.65
Element x y z (fractional)
1 Te 0.804 0.054 0.063
2 Te 0.749 0.946 0.437
3 Te 0.251 0.054 0.563
4 Te 0.196 0.946 0.937
5 I 0.395 0.677 0.666
6 I 0.718 0.323 0.834
7 I 0.282 0.677 0.166
8 I 0.605 0.323 0.334
9 O 0.069 0.000 0.750
10 O 0.931 0.000 0.250

Output
Crystal system = monoclinic
Calculated total energy = -30.15 eV for the cell shown
Formation energy (no corrections) = -0.15 eV per atom


(4)
MgAs2Cl | PBE | optimized geometry

Lattice parameters (Å, degrees): 3.686 3.727 6.217 90.00 90.00 90.00
Element x y z (fractional)
1 As 0.500 0.500 0.000
2 As 0.000 0.000 0.000
3 Cl 0.500 0.000 0.500
4 Mg 0.000 0.500 0.500

Output
Crystal system = orthorhombic
Calculated total energy = -13.96 eV for the cell shown
Formation energy (no corrections) = -0.31 eV per atom


(5)
Cd6HgPd2 | PBE | optimized geometry

Lattice parameters (Å, degrees): 3.052 6.823 9.579 75.19 80.83 77.08
Element x y z (fractional)
1 Cd 0.026 0.647 0.302
2 Cd 0.668 0.216 0.448
3 Cd 0.332 0.784 0.552
4 Cd 0.974 0.353 0.698
5 Cd 0.746 0.382 0.126
6 Cd 0.254 0.618 0.874
7 Pd 0.362 0.019 0.258
8 Pd 0.638 0.981 0.742
9 Hg 0.000 0.000 0.000

Output
E_form = -16 kJ per mole of atoms
Crystal system = monoclinic
Calculated total energy = -17.69 eV for the cell shown


(6)
Tm6Hg5Rh | PBE | optimized geometry

Lattice parameters (Å, degrees): 5.117 7.284 8.075 90.00 71.53 90.00
Element x y z (fractional)
1 Tm 0.500 0.233 0.000
2 Tm 0.842 0.759 0.316
3 Tm 0.158 0.241 0.684
4 Tm 0.158 0.759 0.684
5 Tm 0.500 0.767 0.000
6 Tm 0.842 0.241 0.316
7 Hg 0.000 0.500 0.000
8 Hg 0.669 0.500 0.661
9 Hg 0.674 0.000 0.652
10 Hg 0.326 0.000 0.348
11 Hg 0.331 0.500 0.339
12 Rh 0.000 0.000 0.000

Output
E_form = -54 kJ per mole of atoms
Crystal system = orthorhombic
Calculated total energy = -42.37 eV for the cell shown


(7)
CaSm2Er | PBE | optimized geometry

Lattice parameters (Å, degrees): 3.507 6.508 12.231 85.85 98.24 90.00
Element x y z (fractional)
1 Sm 0.364 0.543 0.727
2 Sm 0.128 0.969 0.257
3 Sm 0.872 0.031 0.743
4 Sm 0.636 0.457 0.273
5 Ca 0.501 0.751 0.002
6 Ca 0.499 0.249 0.998
7 Er 0.252 0.248 0.503
8 Er 0.748 0.752 0.497

Output
E_form = 10 kJ per mole of atoms
Crystal system = monoclinic
Calculated total energy = -31.14 eV for the cell shown


(8)
AlTc2Sb | PBE | optimized geometry

Lattice parameters (Å, degrees): 3.007 3.007 8.133 90.00 90.00 90.00
Element x y z (fractional)
1 Tc 0.000 0.000 0.040
2 Tc 0.500 0.500 0.235
3 Al 0.000 0.000 0.422
4 Sb 0.500 0.500 0.802

Output
Crystal system = tetragonal
Calculated total energy = -28.69 eV for the cell shown
Formation energy (no corrections) = -0.02 eV per atom


(9)
Rb3FeCl | PBE | optimized geometry

Lattice parameters (Å, degrees): 6.371 6.371 6.371 90.00 90.00 90.00
Element x y z (fractional)
1 Rb 0.000 0.500 0.000
2 Rb 0.500 0.000 0.000
3 Rb 0.000 0.000 0.500
4 Cl 0.000 0.000 0.000
5 Fe 0.500 0.500 0.500

Output
Crystal system = cubic
Calculated total energy = -13.45 eV for the cell shown
Formation energy (no corrections) = -0.05 eV per atom


(10)
K2LaNb | PBE | optimized geometry

Lattice parameters (Å, degrees): 4.621 4.621 14.400 80.77 80.77 90.00
Element x y z (fractional)
1 K 0.136 0.625 0.250
2 K 0.375 0.386 0.750
3 K 0.875 0.864 0.750
4 K 0.614 0.125 0.250
5 Nb 0.250 0.750 0.500
6 Nb 0.500 0.500 0.000
7 La 0.000 0.000 0.000
8 La 0.750 0.250 0.500

Output
E_form = 104 kJ per mole of atoms
Crystal system = tetragonal
Calculated total energy = -25.76 eV for the cell shown


(11)
PtRhSe | PBE | optimized geometry

Lattice parameters (Å, degrees): 3.886 3.886 3.851 90.00 90.00 120.00
Element x y z (fractional)
1 Rh 0.667 0.333 0.382
2 Se 0.333 0.667 0.646
3 Pt 0.000 0.000 0.972

Output
Crystal system = trigonal
Calculated total energy = -16.87 eV for the cell shown
Formation energy (no corrections) = 0.00 eV per atom


(12)
CeIn2Ga | PBE | optimized geometry

Lattice parameters (Å, degrees): 4.643 4.643 9.215 90.00 90.00 90.00
Element x y z (fractional)
1 Ga 0.500 0.500 0.000
2 Ga 0.000 0.000 0.000
3 In 0.000 0.500 0.775
4 In 0.500 0.000 0.225
5 In 0.500 0.500 0.500
6 In 0.000 0.000 0.500
7 Ce 0.500 0.000 0.780
8 Ce 0.000 0.500 0.220

Output
E_form = -30 kJ per mole of atoms
Crystal system = tetragonal
Calculated total energy = -31.33 eV for the cell shown


(13)
SrSiHg2Mo | PBE | optimized geometry

Lattice parameters (Å, degrees): 5.909 5.994 5.909 90.00 90.00 90.00
Element x y z (fractional)
1 Hg 0.000 0.000 0.500
2 Hg 0.500 0.000 0.000
3 Sr 0.000 0.000 0.000
4 Si 0.500 0.500 0.500
5 Mo 0.000 0.500 0.000

Output
Crystal system = tetragonal
Calculated total energy = -9.67 eV for the cell shown
Formation energy (no corrections) = 1.77 eV per atom


(14)
LiTb2YTl4 | PBE | optimized geometry

Lattice parameters (Å, degrees): 5.244 5.244 9.350 73.71 73.71 60.00
Element x y z (fractional)
1 Tl 0.127 0.127 0.619
2 Tl 0.873 0.873 0.381
3 Tl 0.623 0.623 0.131
4 Tl 0.377 0.377 0.869
5 Tb 0.755 0.755 0.736
6 Tb 0.245 0.245 0.264
7 Y 0.000 0.000 0.000
8 Li 0.500 0.500 0.500

Output
E_form = -33 kJ per mole of atoms
Crystal system = trigonal
Calculated total energy = -29.83 eV for the cell shown


(15)
CdSbIr2 | PBE | optimized geometry

Lattice parameters (Å, degrees): 8.751 8.751 8.751 20.49 20.49 20.49
Element x y z (fractional)
1 Ir 0.505 0.505 0.505
2 Ir 0.995 0.995 0.995
3 Sb 0.250 0.250 0.250
4 Cd 0.750 0.750 0.750

Output
Crystal system = trigonal
Calculated total energy = -21.80 eV for the cell shown
Formation energy (no corrections) = 0.24 eV per atom


(16)
Na2MgTl5 | PBE | optimized geometry

Lattice parameters (Å, degrees): 8.578 8.578 8.609 119.88 119.88 90.00
Element x y z (fractional)
1 Mg 0.750 0.750 0.500
2 Mg 0.250 0.250 0.500
3 Na 0.855 0.645 0.000
4 Na 0.355 0.855 0.000
5 Na 0.145 0.355 0.000
6 Na 0.645 0.145 0.000
7 Tl 0.185 0.988 0.673
8 Tl 0.512 0.315 0.327
9 Tl 0.988 0.488 0.673
10 Tl 0.000 0.000 0.000
11 Tl 0.500 0.500 0.000
12 Tl 0.685 0.185 0.673
13 Tl 0.488 0.685 0.673
14 Tl 0.012 0.512 0.327
15 Tl 0.815 0.012 0.327
16 Tl 0.315 0.815 0.327

Output
E_form = -4 kJ per mole of atoms
Crystal system = tetragonal
Calculated total energy = -32.78 eV for the cell shown


(17)
SrCrW2S | PBE | optimized geometry

Lattice parameters (Å, degrees): 4.485 5.391 4.485 90.00 90.00 90.00
Element x y z (fractional)
1 Sr 0.000 0.500 0.000
2 Cr 0.500 0.500 0.500
3 W 0.000 0.000 0.500
4 W 0.500 0.000 0.000
5 S 0.000 0.000 0.000

Output
Crystal system = tetragonal
Calculated total energy = -36.51 eV for the cell shown
Formation energy (no corrections) = 0.97 eV per atom


(18)
Li3CoHg | PBE | optimized geometry

Lattice parameters (Å, degrees): 4.594 4.594 4.594 90.00 90.00 90.00
Element x y z (fractional)
1 Li 0.500 0.000 0.000
2 Li 0.000 0.000 0.500
3 Li 0.000 0.500 0.000
4 Co 0.000 0.000 0.000
5 Hg 0.500 0.500 0.500

Output
E_form = 44 kJ per mole of atoms
Crystal system = cubic
Calculated total energy = -10.88 eV for the cell shown


(19)
LaDyGaPb | PBE | optimized geometry

Lattice parameters (Å, degrees): 5.403 5.403 5.403 60.00 60.00 60.00
Element x y z (fractional)
1 Dy 0.750 0.750 0.750
2 Ga 0.000 0.000 0.000
3 Pb 0.500 0.500 0.500
4 La 0.250 0.250 0.250

Output
E_form = -46 kJ per mole of atoms
Crystal system = cubic
Calculated total energy = -18.17 eV for the cell shown


(20)
PrYSe3 | PBE | optimized geometry

Lattice parameters (Å, degrees): 4.173 7.785 16.180 90.00 90.00 90.00
Element x y z (fractional)
1 Se 0.250 0.509 0.106
2 Se 0.750 0.991 0.606
3 Se 0.250 0.378 0.562
4 Se 0.250 0.009 0.394
5 Se 0.250 0.651 0.715
6 Se 0.750 0.122 0.062
7 Se 0.750 0.349 0.285
8 Se 0.250 0.878 0.938
9 Se 0.250 0.151 0.785
10 Se 0.750 0.849 0.215
11 Se 0.750 0.622 0.438
12 Se 0.750 0.491 0.894
13 Pr 0.750 0.860 0.799
14 Pr 0.250 0.640 0.299
15 Pr 0.250 0.140 0.201
16 Pr 0.750 0.360 0.701
17 Y 0.750 0.229 0.457
18 Y 0.750 0.729 0.043
19 Y 0.250 0.771 0.543
20 Y 0.250 0.271 0.957

Output
Crystal system = orthorhombic
Calculated total energy = -124.77 eV for the cell shown
Formation energy (no corrections) = -1.90 eV per atom


(21)
K2AgBr | PBE | optimized geometry

Lattice parameters (Å, degrees): 6.741 6.741 5.390 90.05 90.05 37.09
Element x y z (fractional)
1 K 0.003 0.003 0.875
2 K 0.246 0.246 0.375
3 Ag 0.513 0.513 0.375
4 Br 0.739 0.739 0.875

Output
Crystal system = orthorhombic
Calculated total energy = -9.72 eV for the cell shown
Formation energy (no corrections) = -0.75 eV per atom


(22)
Tb2CuNi3 | PBE | optimized geometry

Lattice parameters (Å, degrees): 5.180 5.180 5.076 89.90 120.75 120.04
Element x y z (fractional)
1 Cu 0.000 0.000 0.000
2 Tb 0.749 0.374 0.124
3 Tb 0.251 0.626 0.876
4 Ni 0.500 0.500 0.500
5 Ni 0.500 0.000 0.500
6 Ni 0.000 0.000 0.500

Output
E_form = -35 kJ per mole of atoms
Crystal system = trigonal
Calculated total energy = -32.86 eV for the cell shown


(23)
NbGeN2F | PBE | optimized geometry

Lattice parameters (Å, degrees): 3.902 3.902 3.652 90.00 90.00 90.00
Element x y z (fractional)
1 N 0.500 0.000 0.000
2 N 0.000 0.500 0.000
3 Ge 0.000 0.000 0.000
4 F 0.000 0.000 0.500
5 Nb 0.500 0.500 0.500

Output
Crystal system = tetragonal
Calculated total energy = -32.18 eV for the cell shown
Formation energy (no corrections) = 0.21 eV per atom


(24)
FeSiOs2 | PBE | optimized geometry

Lattice parameters (Å, degrees): 2.752 2.752 8.205 90.00 90.00 117.11
Element x y z (fractional)
1 Si 0.500 0.500 0.250
2 Os 0.000 0.000 0.484
3 Os 0.000 0.000 0.016
4 Fe 0.500 0.500 0.750

Output
Crystal system = orthorhombic
Calculated total energy = -35.36 eV for the cell shown
Formation energy (no corrections) = 0.25 eV per atom


(25)
Dy5Ho2Sc4 | PBE | optimized geometry

Lattice parameters (Å, degrees): 3.499 8.681 10.731 85.39 90.00 90.00
Element x y z (fractional)
1 Ho 0.000 0.925 0.636
2 Ho 0.000 0.075 0.364
3 Dy 0.000 0.147 0.867
4 Dy 0.000 0.500 0.000
5 Dy 0.000 0.853 0.133
6 Dy 0.000 0.452 0.334
7 Dy 0.000 0.548 0.666
8 Sc 0.500 0.247 0.574
9 Sc 0.500 0.201 0.130
10 Sc 0.500 0.799 0.870
11 Sc 0.500 0.753 0.426

Output
E_form = 10 kJ per mole of atoms
Crystal system = monoclinic
Calculated total energy = -56.32 eV for the cell shown